VASP calculation (GGA+U) on a relaxed ZnCrSiO5 crystal.

Properties
Total magnetization = 2.0 μB per formula unit
Total DFT energy (no corrections) = -6.8227 eV/atom
Calculated volume = 11.22 Å³ per atom

a = 5.3418 Å, b = 5.4191 Å, c = 7.0798 Å
α = 107.64°, β = 107.99°, γ = 98.04°
Space group P-1 (No. 2)
One atom of each set of equivalent atoms:
Zn (0.2382, 0.3679, 0.2559) (multiplicity 2)
Cr (0.5000, 0.0000, 0.0000) (multiplicity 1)
Cr (0.5000, 0.0000, 0.5000) (multiplicity 1)
Si (0.1779, 0.3691, 0.7556) (multiplicity 2)
O (0.1537, 0.7410, 0.3822) (multiplicity 2)
O (0.1831, 0.6924, 0.8488) (multiplicity 2)
O (0.2713, 0.2518, 0.9463) (multiplicity 2)
O (0.3584, 0.3206, 0.6029) (multiplicity 2)
O (0.4176, 0.0691, 0.2471) (multiplicity 2)